The following is a PBE calculation of a geometry-optimized CsSe2N2 structure, from Alexandria.

Summary:
N(E_F)	0.23	states/eV/atom
formation energy from raw total energies	0.7243	eV per atom
E_tot	-4.170	eV per atom
energy above the most stable polymorph in this dataset	1.72	eV/f.u.
space-group type	I4/mmm, No. 139

Geometry as POSCAR:
```
CsSe2N2
1.0
4.334 0.000 0.000
0.000 4.334 0.000
2.167 2.167 6.000
Cs Se N
1 2 2
Direct
0.000 0.000 0.000
0.750 0.250 0.500
0.250 0.750 0.500
0.263 0.263 0.474
0.737 0.737 0.526
```


The following is a PBE calculation of a geometry-optimized CsSiSeN2 structure, from Alexandria.

Summary:
N(E_F)	0.57	states/eV/atom
formation energy from raw total energies	2.4319	eV per atom
E_tot	-2.850	eV per atom
space-group type	P4/mmm, No. 123

Geometry as POSCAR:
```
CsSiSeN2
1.0
4.357 0.000 0.000
0.000 4.357 0.000
0.000 0.000 7.134
Cs Si Se N
1 1 1 2
Direct
0.000 0.000 0.000
0.500 0.500 0.500
0.000 0.000 0.500
0.000 0.500 0.000
0.500 0.000 0.000
```


Which value of N(E_F) does entry 1 give?
0.23 states/eV/atom


formation energy from raw total energies of number 1 (CsSe2N2)?
0.7243 eV per atom


The lowest E_tot belongs to which entry?
CsSe2N2